Record 1
A relaxed structure of Ga2BiAs2. Source: the Alexandria database, functional PBE-GGA.

raw total energy	-37.46	eV for the cell shown
E_form	0.10	eV per atom
symmetry	No. 127
calculated density	7.4	g/cm3
DOS(E_F)	0.41	states/eV per atom
magnetization	0.00	Bohr magnetons per cell

Lattice parameters (Å, degrees): 8.2360 8.2360 3.2808 90.00 90.00 90.00
Sites, in units of the cell vectors:
Ga1 0.1377 0.3623 0.0000
Ga2 0.3623 0.8623 0.0000
Ga3 0.6377 0.1377 0.0000
Ga4 0.8623 0.6377 0.0000
Bi1 0.0000 0.0000 0.5000
Bi2 0.5000 0.5000 0.5000
As1 0.1594 0.6594 0.5000
As2 0.3406 0.1594 0.5000
As3 0.6594 0.8406 0.5000
As4 0.8406 0.3406 0.5000



Record 2
A relaxed structure of Ga2Bi2As. Source: the Alexandria database, functional PBE-GGA.

raw total energy	-34.78	eV for the cell shown
E_form	0.22	eV per atom
symmetry	No. 127
calculated density	8.0	g/cm3
DOS(E_F)	0.48	states/eV per atom
magnetization	0.00	Bohr magnetons per cell

Lattice parameters (Å, degrees): 8.1689 8.1689 3.9551 90.00 90.00 90.00
Sites, in units of the cell vectors:
Ga1 0.1244 0.3756 0.0000
Ga2 0.3756 0.8756 0.0000
Ga3 0.6244 0.1244 0.0000
Ga4 0.8756 0.6244 0.0000
Bi1 0.1765 0.6765 0.5000
Bi2 0.3235 0.1765 0.5000
Bi3 0.6765 0.8235 0.5000
Bi4 0.8235 0.3235 0.5000
As1 0.0000 0.0000 0.5000
As2 0.5000 0.5000 0.5000



Record 3
A relaxed structure of GaHg2BiAs. Source: the Alexandria database, functional PBE-GGA.

raw total energy	-10.34	eV for the cell shown
E_form	0.36	eV per atom
symmetry	No. 123
calculated density	9.1	g/cm3
DOS(E_F)	0.63	states/eV per atom
magnetization	0.00	Bohr magnetons per cell

Lattice parameters (Å, degrees): 5.1788 5.1788 5.1357 90.00 90.00 90.00
Sites, in units of the cell vectors:
Ga1 0.0000 0.0000 0.0000
Hg1 0.0000 0.5000 0.0000
Hg2 0.5000 0.0000 0.0000
Bi1 0.5000 0.5000 0.5000
As1 0.0000 0.0000 0.5000



Record 4
A relaxed structure of MgGaBiAs2. Source: the Alexandria database, functional PBE-GGA.

raw total energy	-13.88	eV for the cell shown
E_form	0.78	eV per atom
symmetry	No. 123
calculated density	4.5	g/cm3
DOS(E_F)	0.80	states/eV per atom
magnetization	0.00	Bohr magnetons per cell

Lattice parameters (Å, degrees): 5.5319 5.5319 5.4488 90.00 90.00 90.00
Sites, in units of the cell vectors:
Mg1 0.0000 0.0000 0.0000
Ga1 0.5000 0.5000 0.0000
Bi1 0.0000 0.0000 0.5000
As1 0.0000 0.5000 0.5000
As2 0.5000 0.0000 0.5000